TePtN2F: relaxed, GGA-PBE.

Structure (POSCAR):
```
TePtN2F
1.0
4.1553 0.0000 0.0000
0.0000 4.1553 0.0000
0.0000 0.0000 4.0775
Te Pt N F
1 1 2 1
Direct
0.0000 0.0000 0.0000 Te
0.5000 0.5000 0.5000 Pt
0.0000 0.5000 0.0000 N
0.5000 0.0000 0.0000 N
0.0000 0.0000 0.5000 F
```

## Properties
As for the energy above the most stable polymorph in this dataset: 39.4 kJ per mole of atoms. As for the space-group type: P4/mmm. As for the uncorrected formation energy: 122.6 kJ/mol of atoms.